Material: SrTiCl2O
Method: DFT, SCAN
State: PBEsol geometry

Values from the calculation:
symmetry	P4/mmm (123)
raw formation energy	-1027	meV per atom
M_tot	2.740	μB/f.u.

Cell lengths 4.3828, 5.4487, 5.4487 Å; angles 90.00, 90.00, 90.00 degrees
With the nearest neighbours (Å) after each atom.
Sites, in units of the cell vectors:
Sr1 0.0000 0.0000 0.0000  2 O 2.19
Cl1 0.0000 0.0000 0.5000  2 Sr 2.72
Cl2 0.0000 0.5000 0.0000  2 Sr 2.72
O1 0.5000 0.0000 0.0000  2 Sr 2.19
Ti1 0.5000 0.5000 0.5000  8 Cl 3.50, 4 O 3.85


Material: TaCl3O
Method: DFT, SCAN
State: PBEsol geometry

Values from the calculation:
symmetry	P4_2/mnm (136)
raw formation energy	-1924	meV per atom
M_tot	0.000	μB/f.u.

Cell lengths 3.8140, 11.3365, 11.3365 Å; angles 90.00, 90.00, 90.00 degrees
With the nearest neighbours (Å) after each atom.
Sites, in units of the cell vectors:
Cl1 0.0000 0.6014 0.6014  2 Ta 2.54
Cl2 0.5000 0.3207 0.1021  1 Ta 2.27
Cl3 0.5000 0.6793 0.8979  1 Ta 2.27
Cl4 0.5000 0.8986 0.1014  2 Ta 2.54
Cl5 0.0000 0.3986 0.3986  2 Ta 2.54
Cl6 0.5000 0.1021 0.3207  1 Ta 2.27
Cl7 0.5000 0.8979 0.6793  1 Ta 2.27
Cl8 0.0000 0.3979 0.8207  1 Ta 2.27
Cl9 0.5000 0.1014 0.8986  2 Ta 2.54
Cl10 0.0000 0.1793 0.6021  1 Ta 2.27
Cl11 0.0000 0.8207 0.3979  1 Ta 2.27
Cl12 0.0000 0.6021 0.1793  1 Ta 2.27
O1 0.5000 0.6081 0.3919  2 Ta 1.92
O2 0.0000 0.1081 0.1081  2 Ta 1.92
O3 0.0000 0.8919 0.8919  2 Ta 1.92
O4 0.5000 0.3919 0.6081  2 Ta 1.92
Ta1 0.5000 0.1214 0.1214  2 O 1.92
Ta2 0.0000 0.6214 0.3786  2 O 1.92
Ta3 0.5000 0.8786 0.8786  2 O 1.92
Ta4 0.0000 0.3786 0.6214  2 O 1.92


Material: TaClO2
Method: DFT, SCAN
State: PBEsol geometry

Values from the calculation:
symmetry	R-3m (166)
raw formation energy	-3	meV per atom
M_tot	2.092	μB/f.u.

Cell lengths 3.0757, 3.0757, 7.8442 Å; angles 78.69, 78.69, 60.00 degrees
With the nearest neighbours (Å) after each atom.
Sites, in units of the cell vectors:
Cl1 0.5000 0.5000 0.5000  6 O 2.67
O1 0.9200 0.9200 0.2399  1 Ta 1.83
O2 0.0800 0.0800 0.7601  1 Ta 1.83
Ta1 0.0000 0.0000 0.0000  2 O 1.83


Ρ, respectively: 2.84, 4.11, 6.59 Mg/m³.
Final energy, respectively: -13.1259, -21.2734, -21.7584 eV/atom.